Below is crystalline TmGa2Ni9 at its relaxed geometry, with properties calculated at the PBE level.

Uncorrected energy = -5.445 eV per atom
Formation energy = -2.8 eV/f.u.

Cell and atoms, written as extended XYZ:
```
12
Lattice="-3.153 2.138 2.969 -3.579 -2.570 1.978 2.249 -1.807 7.619" Properties=species:S:1:pos:R:3 pbc="T T T"
Ga 0.344 -1.102 5.087
Ni -0.701 -2.680 7.043
Ni -2.242 -1.119 6.283
Tm 0.000 0.000 0.000
Ni -0.005 -1.947 9.254
Ni -0.484 -0.283 7.547
Ni -4.478 -0.292 3.312
Ni -2.177 -0.647 4.012
Ni -3.999 -1.956 5.019
Ni -3.782 0.441 5.523
Ga -4.827 -1.137 7.479
Ni -2.306 -1.591 8.554
```